## Ba2ZnBr (GGA-PBE)

Data for a relaxed Ba2ZnBr crystal.

Output
Its density of states at the Fermi level is 1.446 states/eV/atom. As for the total energy: -0.141 Ry per atom. The value obtained for the offset from the most stable computed form is 0.662 eV/atom. The uncorrected formation energy comes out at -0.226 eV per atom.

a b c (Å): 5.897 5.897 5.897
angles (deg): 60.00 60.00 60.00
Positions (direct):
Ba 0.000 0.000 0.000
Ba 0.250 0.250 0.250
Zn 0.500 0.500 0.500
Br 0.750 0.750 0.750